# ZrRe2Ir

A crystal of ZrRe2Ir relaxed with PBEsol (meta-GGA SCAN, the Alexandria database).

## Properties
The value obtained for the raw total energy is -973.1 eV for the cell shown. As for the density of states at the Fermi level: 4.842 states/eV/f.u. The value obtained for the energy above the most stable polymorph in this dataset is 373 meV/atom. For the spin magnetization, the calculation gives 1.33 μB per formula unit.

a = 6.3175 Å, b = 6.3175 Å, c = 6.3175 Å
α = 90.00°, β = 90.00°, γ = 90.00°
Space group Fm-3m (No. 225)
Inequivalent atoms, fractional coordinates:
Zr (0.0000, 0.0000, 0.0000)
Re (0.2500, 0.2500, 0.2500)
Ir (0.0000, 0.0000, 0.5000)